This record from Alexandria describes a relaxed structure of LuCdInAu. The functional is PBE.

Results
**Energy**: -13.07 eV/cell
**DOS at the Fermi energy**: 0.51 states/eV per atom
**SG**: F-43m
**E_form**: -1.62 eV/f.u.

extended XYZ file:
```
4
Lattice="-3.751 3.082 -1.131 -3.427 -1.370 -3.351 -4.639 -1.073 1.476" Properties=species:S:1:pos:R:3 pbc="T T T"
Lu -2.954 0.160 -0.752
In -5.909 0.320 -1.503
Cd -8.863 0.480 -2.255
Au 0.000 0.000 0.000
```